# CoTc4Au (PBE-GGA, optimized geometry)
# formation energy from the elements = 0.57 eV per atom
# D(E_F) = 8.30 states/eV per cell
# SG = F-43m
data_CoTc4Au
_space_group_name_H-M_alt 'P 1'
_space_group_IT_number 1
_space_group_name_Hall 'P 1'
_cell_length_a 5.096
_cell_length_b 5.096
_cell_length_c 5.096
_cell_angle_alpha 60.00
_cell_angle_beta 60.00
_cell_angle_gamma 60.00
loop_
_atom_site_label
_atom_site_fract_x
_atom_site_fract_y
_atom_site_fract_z
Co1 0.000 0.000 0.000
Tc1 0.125 0.625 0.625
Tc2 0.625 0.125 0.625
Tc3 0.625 0.625 0.125
Tc4 0.625 0.625 0.625
Au1 0.250 0.250 0.250